No. 1
Compound: Nd6ThTl
Source: Alexandria
Functional: GGA-PBE
Structure: optimized geometry

a b c (Å): 5.0527 5.0527 10.2687
angles (deg): 90.00 90.00 90.00
Atoms (fractional coordinates):
Nd (0.0000, 0.0000, 0.0000)
Nd (0.0000, 0.0000, 0.5000)
Nd (0.0000, 0.5000, 0.2483)
Nd (0.0000, 0.5000, 0.7517)
Nd (0.5000, 0.0000, 0.2483)
Nd (0.5000, 0.0000, 0.7517)
Th (0.5000, 0.5000, 0.5000)
Tl (0.5000, 0.5000, 0.0000)

Values from the calculation:
* theoretical density: 8.2 g cm⁻³
* space group: P4/mmm
* spin magnetization: 0.000 μB per formula unit
* N(E_F): 11.41 states/eV per cell
* ΔE_f: -0.0626 eV/atom

No. 2
Compound: Li2HgAs
Source: Alexandria
Functional: GGA-PBE
Structure: optimized geometry

a b c (Å): 9.3074 9.3074 9.3074
angles (deg): 153.47 153.47 37.88
Atoms (fractional coordinates):
Li (0.0790, 0.6250, 0.9540)
Li (0.3750, 0.3290, 0.4540)
Li (0.6710, 0.1250, 0.0460)
Li (0.8750, 0.9210, 0.5460)
Hg (0.2500, 0.7500, 0.5000)
Hg (0.5000, 0.5000, 0.0000)
As (0.0000, 0.0000, 0.0000)
As (0.7500, 0.2500, 0.5000)

Values from the calculation:
* theoretical density: 6.0 g cm⁻³
* space group: I-42d
* spin magnetization: 0.000 μB per formula unit
* N(E_F): 3.88 states/eV per cell
* ΔE_f: -0.2050 eV/atom

No. 3
Compound: BeVS2Cl
Source: Alexandria
Functional: GGA-PBE
Structure: optimized geometry

a b c (Å): 4.5677 4.5677 4.7918
angles (deg): 90.00 90.00 90.00
Atoms (fractional coordinates):
Be (0.0000, 0.0000, 0.0000)
V (0.5000, 0.5000, 0.5000)
S (0.0000, 0.5000, 0.5000)
S (0.5000, 0.0000, 0.5000)
Cl (0.5000, 0.5000, 0.0000)

Values from the calculation:
* theoretical density: 2.6 g cm⁻³
* space group: P4/mmm
* uncorrected energy: -22.09 eV/cell
* spin magnetization: 1.456 μB per formula unit
* N(E_F): 3.50 states/eV per cell

No. 4
Compound: Tm2Ga2FeCo5
Source: Alexandria
Functional: GGA-PBE
Structure: optimized geometry

a b c (Å): 9.4191 9.4191 3.2852
angles (deg): 90.00 90.00 90.00
Atoms (fractional coordinates):
Tm (0.1721, 0.3279, 0.0000)
Tm (0.3279, 0.8279, 0.0000)
Tm (0.6721, 0.1721, 0.0000)
Tm (0.8279, 0.6721, 0.0000)
Ga (0.1264, 0.6264, 0.0000)
Ga (0.3736, 0.1264, 0.0000)
Ga (0.6264, 0.8736, 0.0000)
Ga (0.8736, 0.3736, 0.0000)
Fe (0.0000, 0.0000, 0.0000)
Fe (0.5000, 0.5000, 0.0000)
Co (0.0000, 0.5000, 0.5000)
Co (0.0592, 0.8062, 0.5000)
Co (0.1938, 0.0592, 0.5000)
Co (0.3062, 0.5592, 0.5000)
Co (0.4408, 0.3062, 0.5000)
Co (0.5000, 0.0000, 0.5000)
Co (0.5592, 0.6938, 0.5000)
Co (0.6938, 0.4408, 0.5000)
Co (0.8062, 0.9408, 0.5000)
Co (0.9408, 0.1938, 0.5000)

Values from the calculation:
* theoretical density: 9.4 g cm⁻³
* space group: P4/mbm
* spin magnetization: 6.007 μB per formula unit
* N(E_F): 17.02 states/eV per cell
* ΔE_f: -0.1610 eV/atom

No. 5
Compound: CeZnS2
Source: Alexandria
Functional: GGA-PBE
Structure: optimized geometry

a b c (Å): 8.1097 8.1097 8.1097
angles (deg): 26.96 26.96 26.96
Atoms (fractional coordinates):
Ce (0.0000, 0.0000, 0.0000)
Zn (0.5000, 0.5000, 0.5000)
S (0.1108, 0.1108, 0.1108)
S (0.8892, 0.8892, 0.8892)

Values from the calculation:
* theoretical density: 4.6 g cm⁻³
* space group: R-3m
* uncorrected energy: -17.61 eV/cell
* spin magnetization: 0.467 μB per formula unit
* N(E_F): 2.95 states/eV per cell

No. 6
Compound: RuPt5Rh
Source: Alexandria
Functional: GGA-PBE
Structure: optimized geometry

a b c (Å): 5.5752 5.5752 5.5752
angles (deg): 125.56 102.57 101.58
Atoms (fractional coordinates):
Ru (0.0000, 0.0000, 0.0000)
Pt (0.1524, 0.8392, 0.3132)
Pt (0.3406, 0.3406, 0.0000)
Pt (0.5260, 0.8392, 0.6868)
Pt (0.6659, 0.4122, 0.7463)
Pt (0.6659, 0.9196, 0.2537)
Rh (0.0064, 0.5064, 0.5000)

Values from the calculation:
* theoretical density: 15.6 g cm⁻³
* space group: Imm2
* spin magnetization: 0.000 μB per formula unit
* N(E_F): 12.52 states/eV per cell
* ΔE_f: 0.5736 eV/atom